# CuHg2H2

An optimized crystal structure of CuHg2H2 (PBE, Alexandria via LeMat-Bulk).

a = 3.1467 Å, b = 3.1467 Å, c = 7.0709 Å
α = 77.14°, β = 77.14°, γ = 90.00°
Last column: nearest neighbours and their distance in Å.
Atoms (fractional coordinates):
H  0.7500  0.2500  0.5000  4 H 2.23, 4 Hg 2.23
H  0.2500  0.7500  0.5000  4 H 2.23, 4 Hg 2.23
Hg  0.3673  0.3673  0.2655  4 H 2.23
Hg  0.6327  0.6327  0.7345  4 H 2.23
Cu  0.0000  0.0000  0.0000  8 Hg 2.85, 4 Cu 3.15

Results
V: 13.29 Å³ per atom
Final energy: -1.72 eV per atom
Polymorph energy (0 for the lowest one): 0.137 eV per atom
Magnetic moment: 0.0 μB/f.u.

# Cu5Hg3H12

An optimized crystal structure of Cu5Hg3H12 (PBE, Alexandria via LeMat-Bulk).

a = 10.0872 Å, b = 10.0872 Å, c = 10.0872 Å
α = 109.47°, β = 109.47°, γ = 109.47°
Last column: nearest neighbours and their distance in Å.
Atoms (fractional coordinates):
Hg  0.7500  0.3750  0.1250  8 H 2.40-2.53
Hg  0.8750  0.7500  0.1250  8 H 2.40-2.53
Hg  0.3750  0.7500  0.6250  8 H 2.40-2.53
Hg  0.2500  0.1250  0.3750  8 H 2.40-2.53
Hg  0.8750  0.1250  0.2500  8 H 2.40-2.53
Hg  0.3750  0.6250  0.2500  8 H 2.40-2.53
Hg  0.6250  0.3750  0.7500  8 H 2.40-2.53
Hg  0.1250  0.8750  0.7500  8 H 2.40-2.53
Hg  0.7500  0.8750  0.6250  8 H 2.40-2.53
Hg  0.6250  0.2500  0.3750  8 H 2.40-2.53
Hg  0.1250  0.2500  0.8750  8 H 2.40-2.53
Hg  0.2500  0.6250  0.8750  8 H 2.40-2.53
Cu  0.1250  0.3750  0.2500  4 H 1.68
Cu  0.0000  0.5000  0.0000  6 H 1.73
Cu  0.0000  0.0000  0.0000  6 H 1.73
Cu  0.3750  0.2500  0.1250  4 H 1.68
Cu  0.5000  0.0000  0.5000  6 H 1.73
Cu  0.5000  0.5000  0.0000  6 H 1.73
Cu  0.1250  0.7500  0.3750  4 H 1.68
Cu  0.7500  0.1250  0.8750  4 H 1.68
Cu  0.7500  0.6250  0.3750  4 H 1.68
Cu  0.3750  0.1250  0.7500  4 H 1.68
Cu  0.6250  0.8750  0.2500  4 H 1.68
Cu  0.5000  0.5000  0.5000  6 H 1.73
Cu  0.5000  0.0000  0.0000  6 H 1.73
Cu  0.0000  0.0000  0.5000  6 H 1.73
Cu  0.2500  0.3750  0.6250  4 H 1.68
Cu  0.2500  0.8750  0.1250  4 H 1.68
Cu  0.0000  0.5000  0.5000  6 H 1.73
Cu  0.8750  0.2500  0.6250  4 H 1.68
Cu  0.6250  0.7500  0.8750  4 H 1.68
Cu  0.8750  0.6250  0.7500  4 H 1.68
H  0.6749  0.0944  0.9944  2 Cu 1.68-1.73
H  0.3195  0.4944  0.4000  2 Cu 1.68-1.73
H  0.0056  0.4056  0.3251  2 Cu 1.68-1.73
H  0.4944  0.1749  0.0944  2 Cu 1.68-1.73
H  0.5805  0.6749  0.6805  2 Cu 1.68-1.73
H  0.0056  0.6000  0.1805  2 Cu 1.68-1.73
H  0.3195  0.8251  0.4195  2 Cu 1.68-1.73
H  0.1000  0.9195  0.0944  2 Cu 1.68-1.73
H  0.6000  0.0056  0.6805  2 Cu 1.68-1.73
H  0.6749  0.5805  0.1805  2 Cu 1.68-1.73
H  0.8251  0.5056  0.4056  2 Cu 1.68-1.73
H  0.8195  0.9000  0.9944  2 Cu 1.68-1.73
H  0.0944  0.6749  0.4944  2 Cu 1.68-1.73
H  0.4056  0.4000  0.0805  2 Cu 1.68-1.73
H  0.0805  0.9000  0.4056  2 Cu 1.68-1.73
H  0.4195  0.0944  0.6000  2 Cu 1.68-1.73
H  0.0805  0.1805  0.1749  2 Cu 1.68-1.73
H  0.5056  0.6805  0.1000  2 Cu 1.68-1.73
H  0.8195  0.9195  0.3251  2 Cu 1.68-1.73
H  0.0944  0.4195  0.1000  2 Cu 1.68-1.73
H  0.4056  0.0056  0.8251  2 Cu 1.68-1.73
H  0.6000  0.5944  0.4195  2 Cu 1.68-1.73
H  0.9000  0.8195  0.4944  2 Cu 1.68-1.73
H  0.8251  0.3195  0.9195  2 Cu 1.68-1.73
H  0.4000  0.4056  0.5805  2 Cu 1.68-1.73
H  0.1000  0.1805  0.5056  2 Cu 1.68-1.73
H  0.1749  0.6805  0.0805  2 Cu 1.68-1.73
H  0.1805  0.0805  0.6749  2 Cu 1.68-1.73
H  0.5944  0.9944  0.1749  2 Cu 1.68-1.73
H  0.9056  0.5805  0.9000  2 Cu 1.68-1.73
H  0.4944  0.3195  0.9000  2 Cu 1.68-1.73
H  0.5805  0.9056  0.4000  2 Cu 1.68-1.73
H  0.9195  0.8195  0.8251  2 Cu 1.68-1.73
H  0.9195  0.1000  0.5944  2 Cu 1.68-1.73
H  0.9056  0.3251  0.5056  2 Cu 1.68-1.73
H  0.1805  0.1000  0.0056  2 Cu 1.68-1.73
H  0.5944  0.6000  0.9195  2 Cu 1.68-1.73
H  0.4000  0.9944  0.3195  2 Cu 1.68-1.73
H  0.3251  0.4195  0.8195  2 Cu 1.68-1.73
H  0.1749  0.4944  0.5944  2 Cu 1.68-1.73
H  0.9000  0.0805  0.9056  2 Cu 1.68-1.73
H  0.6805  0.1749  0.5805  2 Cu 1.68-1.73
H  0.5056  0.8251  0.9056  2 Cu 1.68-1.73
H  0.9944  0.4000  0.8195  2 Cu 1.68-1.73
H  0.4195  0.3251  0.3195  2 Cu 1.68-1.73
H  0.9944  0.5944  0.6749  2 Cu 1.68-1.73
H  0.6805  0.5056  0.6000  2 Cu 1.68-1.73
H  0.3251  0.9056  0.0056  2 Cu 1.68-1.73

Results
V: 9.88 Å³ per atom
Final energy: -2.61 eV per atom
Magnetic moment: 0.0 μB/f.u.

# CuHg2HIr

An optimized crystal structure of CuHg2HIr (PBE, Alexandria via LeMat-Bulk).

a = 4.6376 Å, b = 3.4760 Å, c = 4.6376 Å
α = 90.00°, β = 90.00°, γ = 90.00°
Last column: nearest neighbours and their distance in Å.
Atoms (fractional coordinates):
H  0.0000  0.0000  0.0000  2 Ir 1.74
Ir  0.0000  0.5000  0.0000  2 H 1.74
Hg  0.0000  0.0000  0.5000  2 H 2.32
Hg  0.5000  0.0000  0.0000  2 H 2.32
Cu  0.5000  0.5000  0.5000  8 Hg 2.90

Results
V: 14.95 Å³ per atom
Final energy: -2.95 eV per atom
Magnetic moment: 0.0 μB/f.u.